# CsLiZrTe3 | OQMD via LeMat-Bulk | PBE | optimized geometry
# Uncorrected energy: -107.02 eV/cell
data_CsLiZrTe3
_chemical_formula_sum 'Cs4 Li4 Zr4 Te12'
_symmetry_space_group_name_H-M 'C m c m'
_symmetry_Int_Tables_number 63
_symmetry_space_group_name_Hall '-C 2c 2'
_cell_length_a 4.267
_cell_length_b 16.844
_cell_length_c 11.247
_cell_angle_alpha 90.00
_cell_angle_beta 90.00
_cell_angle_gamma 90.00
loop_
_atom_site_label
_atom_site_type_symbol
_atom_site_fract_x
_atom_site_fract_y
_atom_site_fract_z
Cs1 Cs 0.000 0.245 0.250
Li1 Li 0.000 0.039 0.750
Zr1 Zr 0.000 0.500 0.000
Te1 Te 0.000 0.118 0.543
Te2 Te 0.000 0.443 0.750